VASP calculation (GGA-PBE) on a relaxed Pr2HoTl2 crystal.

energy of formation	-0.316	eV/atom
SG	P4/mbm (127)

Lattice parameters (Å, degrees): 4.6735 8.2289 8.2289 90.00 90.00 90.00
With the nearest neighbours (Å) after each atom.
Positions (direct):
Pr  0.5000  0.3291  0.1709  6 Tl 3.28-3.43
Pr  0.5000  0.6709  0.8291  6 Tl 3.28-3.43
Pr  0.5000  0.8291  0.3291  6 Tl 3.28-3.43
Pr  0.5000  0.1709  0.6709  6 Tl 3.28-3.43
Tl  0.0000  0.6312  0.1312  1 Tl 3.05, 2 Ho 3.22, 2 Pr 3.28
Tl  0.0000  0.1312  0.3688  1 Tl 3.05, 2 Ho 3.22, 2 Pr 3.28
Tl  0.0000  0.8688  0.6312  1 Tl 3.05, 2 Ho 3.22, 2 Pr 3.28
Tl  0.0000  0.3688  0.8688  1 Tl 3.05, 2 Ho 3.22, 2 Pr 3.28
Ho  0.0000  0.5000  0.5000  4 Tl 3.22
Ho  0.0000  0.0000  0.0000  4 Tl 3.22

VASP calculation (GGA-PBE) on a relaxed BaSr2LiN crystal.

SG	P4/mmm (123)
electronic total energy	-3.3195	eV per atom

Lattice parameters (Å, degrees): 5.3585 5.3585 5.7934 90.00 90.00 90.00
With the nearest neighbours (Å) after each atom.
Positions (direct):
Sr  0.0000  0.5000  0.0000  2 N 2.68
Sr  0.5000  0.0000  0.0000  2 N 2.68
Li  0.5000  0.5000  0.5000  4 Ba 3.79, 8 Sr 3.95
Ba  0.0000  0.0000  0.5000  2 N 2.90
N  0.0000  0.0000  0.0000  4 Sr 2.68, 2 Ba 2.90

VASP calculation (GGA-PBE) on a relaxed Pa3Ga5N12 crystal.

SG	Ia-3d (230)
electronic total energy	-7.5122	eV per atom

Lattice parameters (Å, degrees): 10.8677 10.8677 10.8677 109.47 109.47 109.47
With the nearest neighbours (Å) after each atom.
Positions (direct):
N  0.1299  0.7161  0.5395  2 Ga 1.93-2.10
N  0.6299  0.5904  0.9138  2 Ga 1.93-2.10
N  0.9605  0.3701  0.2839  2 Ga 1.93-2.10
N  0.9096  0.8234  0.5395  2 Ga 1.93-2.10
N  0.4605  0.7839  0.8701  2 Ga 1.93-2.10
N  0.5862  0.8701  0.4096  2 Ga 1.93-2.10
N  0.6299  0.0395  0.2161  2 Ga 1.93-2.10
N  0.0862  0.1766  0.2161  2 Ga 1.93-2.10
N  0.0395  0.4096  0.8234  2 Ga 1.93-2.10
N  0.3701  0.4096  0.0862  2 Ga 1.93-2.10
N  0.0904  0.9138  0.1299  2 Ga 1.93-2.10
N  0.2839  0.4138  0.8234  2 Ga 1.93-2.10
N  0.6766  0.2161  0.5862  2 Ga 1.93-2.10
N  0.7839  0.4605  0.3701  2 Ga 1.93-2.10
N  0.1766  0.0904  0.9605  2 Ga 1.93-2.10
N  0.0904  0.1766  0.4605  2 Ga 1.93-2.10
N  0.8234  0.9138  0.2839  2 Ga 1.93-2.10
N  0.0862  0.9096  0.3701  2 Ga 1.93-2.10
N  0.4605  0.6766  0.0904  2 Ga 1.93-2.10
N  0.1299  0.4138  0.0904  2 Ga 1.93-2.10
N  0.3701  0.9605  0.7839  2 Ga 1.93-2.10
N  0.5862  0.7161  0.6766  2 Ga 1.93-2.10
N  0.5904  0.9605  0.6766  2 Ga 1.93-2.10
N  0.9138  0.0904  0.6299  2 Ga 1.93-2.10
N  0.5904  0.6299  0.4138  2 Ga 1.93-2.10
N  0.4096  0.0395  0.3234  2 Ga 1.93-2.10
N  0.2161  0.5395  0.6299  2 Ga 1.93-2.10
N  0.5395  0.3234  0.9096  2 Ga 1.93-2.10
N  0.6766  0.4605  0.5904  2 Ga 1.93-2.10
N  0.1766  0.0862  0.7161  2 Ga 1.93-2.10
N  0.4096  0.3701  0.5862  2 Ga 1.93-2.10
N  0.9605  0.5904  0.1766  2 Ga 1.93-2.10
N  0.2839  0.8701  0.9605  2 Ga 1.93-2.10
N  0.8234  0.9096  0.0395  2 Ga 1.93-2.10
N  0.4138  0.1299  0.5904  2 Ga 1.93-2.10
N  0.7839  0.3234  0.9138  2 Ga 1.93-2.10
N  0.7161  0.5862  0.1766  2 Ga 1.93-2.10
N  0.8701  0.5862  0.9096  2 Ga 1.93-2.10
N  0.3234  0.7839  0.4138  2 Ga 1.93-2.10
N  0.3234  0.5395  0.4096  2 Ga 1.93-2.10
N  0.7161  0.1299  0.0395  2 Ga 1.93-2.10
N  0.9096  0.0862  0.8701  2 Ga 1.93-2.10
N  0.5395  0.2161  0.1299  2 Ga 1.93-2.10
N  0.0395  0.6299  0.7161  2 Ga 1.93-2.10
N  0.9138  0.8234  0.7839  2 Ga 1.93-2.10
N  0.2161  0.6766  0.0862  2 Ga 1.93-2.10
N  0.8701  0.2839  0.4605  2 Ga 1.93-2.10
N  0.4138  0.2839  0.3234  2 Ga 1.93-2.10
Ga  0.5000  0.5000  0.0000  6 N 2.10
Ga  0.8750  0.2500  0.6250  4 N 1.93
Ga  0.0000  0.5000  0.5000  6 N 2.10
Ga  0.1250  0.3750  0.2500  4 N 1.93
Ga  0.2500  0.8750  0.1250  4 N 1.93
Ga  0.6250  0.8750  0.2500  4 N 1.93
Ga  0.5000  0.5000  0.5000  6 N 2.10
Ga  0.8750  0.6250  0.7500  4 N 1.93
Ga  0.1250  0.7500  0.3750  4 N 1.93
Ga  0.7500  0.1250  0.8750  4 N 1.93
Ga  0.3750  0.2500  0.1250  4 N 1.93
Ga  0.7500  0.6250  0.3750  4 N 1.93
Ga  0.3750  0.1250  0.7500  4 N 1.93
Ga  0.2500  0.3750  0.6250  4 N 1.93
Ga  0.0000  0.5000  0.0000  6 N 2.10
Ga  0.0000  0.0000  0.0000  6 N 2.10
Ga  0.0000  0.0000  0.5000  6 N 2.10
Ga  0.5000  0.0000  0.0000  6 N 2.10
Ga  0.6250  0.7500  0.8750  4 N 1.93
Ga  0.5000  0.0000  0.5000  6 N 2.10
Pa  0.8750  0.7500  0.1250  8 N 2.36-2.39
Pa  0.2500  0.6250  0.8750  8 N 2.36-2.39
Pa  0.3750  0.7500  0.6250  8 N 2.36-2.39
Pa  0.1250  0.2500  0.8750  8 N 2.36-2.39
Pa  0.7500  0.8750  0.6250  8 N 2.36-2.39
Pa  0.3750  0.6250  0.2500  8 N 2.36-2.39
Pa  0.6250  0.2500  0.3750  8 N 2.36-2.39
Pa  0.8750  0.1250  0.2500  8 N 2.36-2.39
Pa  0.1250  0.8750  0.7500  8 N 2.36-2.39
Pa  0.6250  0.3750  0.7500  8 N 2.36-2.39
Pa  0.2500  0.1250  0.3750  8 N 2.36-2.39
Pa  0.7500  0.3750  0.1250  8 N 2.36-2.39

VASP calculation (GGA-PBE) on a relaxed DyTa2Os3 crystal.

energy of formation	-0.312	eV/atom
SG	P4/mmm (123)

Lattice parameters (Å, degrees): 3.1599 3.1599 10.5656 90.00 90.00 90.00
With the nearest neighbours (Å) after each atom.
Positions (direct):
Os  0.0000  0.0000  0.2979  4 Ta 2.67
Os  0.0000  0.0000  0.0000  8 Ta 2.80
Os  0.0000  0.0000  0.7021  4 Ta 2.67
Ta  0.5000  0.5000  0.8403  8 Os 2.67-2.80
Ta  0.5000  0.5000  0.1597  8 Os 2.67-2.80
Dy  0.5000  0.5000  0.5000  8 Os 3.09, 4 Dy 3.16

VASP calculation (GGA-PBE) on a relaxed YCrCo2 crystal.

energy of formation	0.312	eV/atom
SG	Imm2 (44)

Lattice parameters (Å, degrees): 5.2882 5.2882 5.2882 144.93 130.90 61.76
With the nearest neighbours (Å) after each atom.
Positions (direct):
Co  0.9746  0.9746  0.0000  2 Co 2.45
Co  0.7702  0.2702  0.5000  2 Co 2.45, 4 Y 2.73
Cr  0.5167  0.5167  0.0000  6 Co 2.74-2.80, 4 Y 2.98-2.99
Y  0.2384  0.7384  0.5000  6 Co 2.73-2.88, 4 Cr 2.98-2.99

VASP calculation (GGA-PBE) on a relaxed Ce2Sb crystal.

SG	I4/mmm (139)
electronic total energy	-6.0272	eV per atom

Lattice parameters (Å, degrees): 4.2308 4.2308 5.6003 112.19 112.19 90.00
With the nearest neighbours (Å) after each atom.
Positions (direct):
Ce  0.3599  0.3599  0.7198  1 Ce 2.65
Ce  0.6401  0.6401  0.2802  1 Ce 2.65
Sb  0.0000  0.0000  0.0000  10 Ce 3.27-3.41

VASP calculation (GGA-PBE) on a relaxed SrMn2Au crystal.

energy of formation	0.395	eV/atom
SG	I4_1/amd (141)

Lattice parameters (Å, degrees): 4.8729 4.8729 9.8622 75.70 75.70 90.00
With the nearest neighbours (Å) after each atom.
Positions (direct):
Mn  0.8753  0.6250  0.2500  2 Mn 2.44, 2 Au 2.61
Mn  0.8747  0.1250  0.2500  2 Mn 2.44, 2 Au 2.61
Mn  0.3750  0.1253  0.7500  2 Mn 2.44, 2 Au 2.61
Mn  0.8750  0.1247  0.7500  2 Mn 2.44, 2 Au 2.61
Sr  0.2500  0.7500  0.5000  4 Au 3.45, 8 Mn 3.57
Sr  0.5000  0.5000  0.0000  4 Au 3.45, 8 Mn 3.57
Au  0.0000  0.0000  0.0000  4 Mn 2.61
Au  0.7500  0.2500  0.5000  4 Mn 2.61

VASP calculation (GGA-PBE) on a relaxed Tb4Tm3In crystal.

energy of formation	-0.115	eV/atom
SG	Pm (6)

Lattice parameters (Å, degrees): 11.1590 8.2635 6.9869 90.00 90.00 47.83
With the nearest neighbours (Å) after each atom.
Positions (direct):
Tb  0.6034  0.6629  0.2483  3 Tm 3.35-3.59, 7 Tb 3.42-3.64, 2 In 3.44-3.53
Tb  0.3588  0.1776  0.0000  7 Tm 3.39-3.50, 5 Tb 3.51-3.60
Tb  0.2581  0.8553  0.0000  3 In 3.33-3.50, 5 Tb 3.38-3.52, 4 Tm 3.44-3.63
Tb  0.0192  0.3337  0.2410  7 Tb 3.37-3.62, 2 In 3.38-3.57, 3 Tm 3.46-3.56
Tb  0.6034  0.6629  0.7517  3 Tm 3.35-3.59, 7 Tb 3.42-3.64, 2 In 3.44-3.53
Tb  0.0192  0.3337  0.7590  7 Tb 3.37-3.62, 2 In 3.38-3.57, 3 Tm 3.46-3.56
Tb  0.8712  0.1419  0.5000  3 In 3.34-3.50, 4 Tm 3.37-3.49, 5 Tb 3.47-3.64
Tb  0.7679  0.8287  0.5000  5 Tb 3.42-3.53, 7 Tm 3.45-3.57
Tm  0.3534  0.1573  0.5000  1 In 3.38, 7 Tb 3.45-3.50, 4 Tm 3.55-3.56
Tm  0.1109  0.6662  0.2573  2 In 3.35-3.53, 5 Tb 3.37-3.52, 5 Tm 3.39-3.60
Tm  0.1109  0.6662  0.7427  2 In 3.35-3.53, 5 Tb 3.37-3.52, 5 Tm 3.39-3.60
Tm  0.5240  0.3378  0.7480  5 Tb 3.35-3.63, 5 Tm 3.44-3.56, 2 In 3.45-3.48
Tm  0.5240  0.3378  0.2520  5 Tb 3.35-3.63, 5 Tm 3.44-3.56, 2 In 3.45-3.48
Tm  0.7754  0.8462  0.0000  1 In 3.31, 4 Tm 3.46-3.49, 7 Tb 3.47-3.59
In  0.2714  0.8304  0.5000  7 Tb 3.34-3.57, 5 Tm 3.35-3.48
In  0.8594  0.1614  0.0000  5 Tm 3.31-3.53, 7 Tb 3.33-3.53

VASP calculation (GGA-PBE) on a relaxed ZnRu2Rh crystal.

energy of formation	0.034	eV/atom
SG	C2/m (12)

Lattice parameters (Å, degrees): 4.7183 4.7183 4.6140 80.45 80.45 33.65
With the nearest neighbours (Å) after each atom.
Positions (direct):
Ru  0.9946  0.9946  0.9987  6 Ru 2.66-2.73, 3 Zn 2.66-2.75, 3 Rh 2.68-2.76
Ru  0.5054  0.5054  0.5013  6 Ru 2.66-2.73, 3 Zn 2.66-2.75, 3 Rh 2.68-2.76
Rh  0.2500  0.2500  0.2500  4 Zn 2.68, 6 Ru 2.68-2.76, 2 Rh 2.73
Zn  0.7500  0.7500  0.7500  6 Ru 2.66-2.75, 4 Rh 2.68, 2 Zn 2.73

VASP calculation (GGA-PBE) on a relaxed LaCrP4 crystal.

energy of formation	0.066	eV/atom
SG	F-43m (216)

Lattice parameters (Å, degrees): 5.3548 5.3548 5.3548 60.00 60.00 60.00
With the nearest neighbours (Å) after each atom.
Positions (direct):
P  0.8455  0.3848  0.3848  3 P 2.47
P  0.3848  0.3848  0.8455  3 P 2.47
P  0.3848  0.8455  0.3848  3 P 2.47
P  0.3848  0.3848  0.3848  3 P 2.47
Cr  0.7500  0.7500  0.7500  12 P 3.12, 4 La 3.28
La  0.0000  0.0000  0.0000  12 P 3.16, 4 Cr 3.28

VASP calculation (GGA-PBE) on a relaxed PuPa4Si4 crystal.

SG	P4_2/n (86)
electronic total energy	-8.5389	eV per atom

Lattice parameters (Å, degrees): 5.9162 7.8720 7.8720 90.00 90.00 90.00
With the nearest neighbours (Å) after each atom.
Positions (direct):
Si  0.3601  0.2028  0.0977  1 Pu 2.77, 3 Si 2.83-3.00, 6 Pa 2.95-3.08
Si  0.1399  0.2972  0.4023  1 Pu 2.77, 3 Si 2.83-3.00, 6 Pa 2.95-3.08
Si  0.1399  0.7028  0.5977  1 Pu 2.77, 3 Si 2.83-3.00, 6 Pa 2.95-3.08
Si  0.6399  0.9023  0.2028  1 Pu 2.77, 3 Si 2.83-3.00, 6 Pa 2.95-3.08
Si  0.6399  0.0977  0.7972  1 Pu 2.77, 3 Si 2.83-3.00, 6 Pa 2.95-3.08
Si  0.8601  0.5977  0.2972  1 Pu 2.77, 3 Si 2.83-3.00, 6 Pa 2.95-3.08
Si  0.8601  0.4023  0.7028  1 Pu 2.77, 3 Si 2.83-3.00, 6 Pa 2.95-3.08
Si  0.3601  0.7972  0.9023  1 Pu 2.77, 3 Si 2.83-3.00, 6 Pa 2.95-3.08
Pa  0.3629  0.5706  0.2083  1 Pu 2.50
Pa  0.6371  0.7917  0.5706  1 Pu 2.50
Pa  0.1371  0.9294  0.2917  1 Pu 2.50
Pa  0.6371  0.2083  0.4294  1 Pu 2.50
Pa  0.8629  0.2917  0.0706  1 Pu 2.50
Pa  0.1371  0.0706  0.7083  1 Pu 2.50
Pa  0.3629  0.4294  0.7917  1 Pu 2.50
Pa  0.8629  0.7083  0.9294  1 Pu 2.50
Pu  0.0000  0.0000  0.0000  4 Pa 2.50, 4 Si 2.77
Pu  0.5000  0.5000  0.5000  4 Pa 2.50, 4 Si 2.77

VASP calculation (GGA-PBE) on a relaxed KAl2Ni crystal.

energy of formation	0.073	eV/atom
SG	Cm (8)

Lattice parameters (Å, degrees): 4.5588 4.5588 7.7852 72.77 72.77 37.20
With the nearest neighbours (Å) after each atom.
Positions (direct):
Al  0.7319  0.7319  0.8453  2 Ni 2.38
Al  0.9597  0.9597  0.0876  3 Ni 2.39-2.43
Ni  0.2418  0.2418  0.0840  5 Al 2.38-2.43
K  0.5666  0.5666  0.4831  2 K 2.91